Density functional theory data (PBE-GGA) for a relaxed structure of K3Pu2AuO9.

## Properties
symmetry	No. 164
uncorrected formation energy	-1.92	eV per atom

a = 6.044 Å, b = 6.044 Å, c = 7.493 Å
α = 90.00°, β = 90.00°, γ = 120.00°
Fractional positions:
K 0.000 0.000 0.000
K 0.333 0.667 0.650
K 0.667 0.333 0.350
Pu 0.333 0.667 0.163
Pu 0.667 0.333 0.837
Au 0.000 0.000 0.500
O 0.000 0.500 0.000
O 0.180 0.359 0.312
O 0.180 0.820 0.312
O 0.359 0.180 0.688
O 0.500 0.000 0.000
O 0.500 0.500 0.000
O 0.641 0.820 0.312
O 0.820 0.180 0.688
O 0.820 0.641 0.688